No. 1
First-principles (PBE-GGA) data for a relaxed structure of ZrTlSe, as listed in Alexandria via LeMat-Bulk.

Results
- SG = No. 107
- formation energy without anion corrections (kcal/mol of atoms) = -14.2
- total magnetization (Bohr magnetons per cell) = 0.000
- ρ (kg/m³) = 8739
- calculated volume (Å³/cell) = 71.2

a b c (Å): 6.232 6.232 6.232
angles (deg): 147.09 147.09 47.22
Fractional positions:
Zr (0.000, 0.000, 0.000)
Tl (0.689, 0.689, 0.000)
Se (0.403, 0.403, 0.000)


No. 2
First-principles (PBE-GGA) data for a relaxed structure of BaLaIr4, as listed in Alexandria via LeMat-Bulk.

Results
- formation energy (eV per atom) = -0.3577
- SG = No. 216
- total magnetization (Bohr magnetons per cell) = 0.000
- ρ (kg/m³) = 14449
- calculated volume (Å³/cell) = 120.1

a b c (Å): 5.538 5.538 5.538
angles (deg): 60.00 60.00 60.00
Fractional positions:
Ba (0.000, 0.000, 0.000)
La (0.250, 0.250, 0.250)
Ir (0.126, 0.625, 0.625)
Ir (0.625, 0.126, 0.625)
Ir (0.625, 0.625, 0.126)
Ir (0.625, 0.625, 0.625)